[1]
4
Lattice="3.884 0.000 0.000 1.942 3.364 0.000 1.942 1.121 5.868" Properties=species:S:1:pos:R:3 comment="EuGeN2, relaxed, DFT GGA-PBE" n_ef_per_ev_cell=7.170 total_energy_ev_per_cell=-32.5 pbc="T T T"
Eu 3.884 2.242 2.934
Ge 0.000 0.000 0.000
N 1.942 1.121 4.149
N 5.826 3.364 1.720

---

[2]
3
Lattice="3.645 0.000 0.000 0.000 5.041 0.000 0.000 -2.520 4.365" Properties=species:S:1:pos:R:3 comment="NaEuGe, relaxed, DFT GGA-PBE" formation_energy_mev_per_atom=-226.0 n_ef_per_ev_cell=11.445 pbc="T T T"
Eu 1.214 0.000 2.910
Na 3.038 0.000 0.000
Ge 3.039 2.520 1.455

---

[3]
3
Lattice="-0.258 -3.838 -1.219 3.972 -0.042 -0.710 -1.035 0.396 5.651" Properties=species:S:1:pos:R:3 comment="NaEuGe, relaxed, DFT GGA-PBE" formation_energy_mev_per_atom=-172.7 n_ef_per_ev_cell=5.452 pbc="T T T"
Eu 2.575 -3.289 3.131
Na 2.074 -2.348 0.273
Ge 0.462 -0.868 2.634